Sr2FeGe3Pt4: relaxed, PBE.

Output
Calculated total energy, eV per cell: -56.751

```
data_Sr2FeGe3Pt4
_space_group_name_H-M_alt 'P 1'
_space_group_IT_number 1
_space_group_name_Hall 'P 1'
_cell_length_a 4.4177
_cell_length_b 4.4177
_cell_length_c 10.1834
_cell_angle_alpha 90.00
_cell_angle_beta 90.00
_cell_angle_gamma 90.00
loop_
_atom_site_label
_atom_site_fract_x
_atom_site_fract_y
_atom_site_fract_z
_atom_site_occupancy
Pt1 0.5000 0.0000 0.6266 1
Fe1 0.5000 0.5000 0.5000 1
Ge1 0.5000 0.0000 0.8725 1
Sr1 0.0000 0.5000 0.7459 1
Pt2 0.0000 0.0000 0.0000 1
Ge2 0.0000 0.5000 0.1275 1
Ge3 0.0000 0.0000 0.5000 1
Sr2 0.5000 0.0000 0.2541 1
Pt3 0.5000 0.5000 0.0000 1
Pt4 0.0000 0.5000 0.3734 1
```

---

TaCrSb2: relaxed, PBE.

Output
Calculated total energy, eV per cell: -28.068
Distance to the lowest polymorph of the same formula, meV/atom: 340
Formation energy from raw total energies, eV per atom: 0.41

```
data_TaCrSb2
_space_group_name_H-M_alt 'P 1'
_space_group_IT_number 1
_space_group_name_Hall 'P 1'
_cell_length_a 3.2219
_cell_length_b 3.2219
_cell_length_c 7.9693
_cell_angle_alpha 90.00
_cell_angle_beta 90.00
_cell_angle_gamma 105.09
loop_
_atom_site_label
_atom_site_fract_x
_atom_site_fract_y
_atom_site_fract_z
_atom_site_occupancy
Sb1 0.0000 0.0000 0.5122 1
Ta1 0.5000 0.5000 0.2500 1
Sb2 0.0000 0.0000 0.9878 1
Cr1 0.5000 0.5000 0.7500 1
```